# Cs2NaHfPb PBE optimized geometry
# Calculated formation energy in eV per atom: 1.187
# Crystal system: tetragonal
# Relative energy among the computed polymorphs in eV/atom: 0.543
# N(E_F) in states/eV/atom: 0.89
data_Cs2NaHfPb
_chemical_formula_sum 'Cs2 Na1 Hf1 Pb1'
_space_group_name_H-M_alt 'P 4/m m m'
_space_group_IT_number 123
_space_group_name_Hall '-P 4 2'
_cell_length_a 6.174
_cell_length_b 6.174
_cell_length_c 6.138
_cell_angle_alpha 90.00
_cell_angle_beta 90.00
_cell_angle_gamma 90.00
loop_
_atom_site_label
_atom_site_fract_x
_atom_site_fract_y
_atom_site_fract_z
Cs1 0.000 0.500 0.000
Na1 0.000 0.000 0.000
Hf1 0.000 0.000 0.500
Pb1 0.500 0.500 0.500


# CsNaHfS3 PBE optimized geometry
# Crystal system: orthorhombic
# N(E_F) in states/eV/atom: 0.00
# Uncorrected energy in eV/atom: -5.566
data_CsNaHfS3
_chemical_formula_sum 'Cs4 Na4 Hf4 S12'
_space_group_name_H-M_alt 'C m c m'
_space_group_IT_number 63
_space_group_name_Hall '-C 2c 2'
_cell_length_a 7.363
_cell_length_b 13.686
_cell_length_c 7.003
_cell_angle_alpha 90.00
_cell_angle_beta 90.00
_cell_angle_gamma 90.00
loop_
_atom_site_label
_atom_site_fract_x
_atom_site_fract_y
_atom_site_fract_z
Cs1 0.000 0.237 0.250
Na1 0.000 0.074 0.750
Hf1 0.000 0.448 0.750
S1 0.000 0.277 0.750
S2 0.229 0.500 0.000


# CsNaHfSe3 PBE optimized geometry
# Crystal system: orthorhombic
# N(E_F) in states/eV/atom: 0.00
# Uncorrected energy in eV/atom: -5.092
data_CsNaHfSe3
_chemical_formula_sum 'Cs4 Na4 Hf4 Se12'
_space_group_name_H-M_alt 'C m c m'
_space_group_IT_number 63
_space_group_name_Hall '-C 2c 2'
_cell_length_a 7.694
_cell_length_b 14.299
_cell_length_c 7.322
_cell_angle_alpha 90.00
_cell_angle_beta 90.00
_cell_angle_gamma 90.00
loop_
_atom_site_label
_atom_site_fract_x
_atom_site_fract_y
_atom_site_fract_z
Cs1 0.000 0.242 0.250
Na1 0.000 0.075 0.750
Hf1 0.000 0.447 0.750
Se1 0.000 0.275 0.750
Se2 0.231 0.500 0.000


# Cs2NaHfSi PBE optimized geometry
# Crystal system: tetragonal
# N(E_F) in states/eV/atom: 1.44
# Uncorrected energy in eV/atom: -2.329
data_Cs2NaHfSi
_chemical_formula_sum 'Cs2 Na1 Hf1 Si1'
_space_group_name_H-M_alt 'P 4/m m m'
_space_group_IT_number 123
_space_group_name_Hall '-P 4 2'
_cell_length_a 6.278
_cell_length_b 6.278
_cell_length_c 5.429
_cell_angle_alpha 90.00
_cell_angle_beta 90.00
_cell_angle_gamma 90.00
loop_
_atom_site_label
_atom_site_fract_x
_atom_site_fract_y
_atom_site_fract_z
Cs1 0.000 0.500 0.000
Na1 0.000 0.000 0.000
Hf1 0.500 0.500 0.500
Si1 0.000 0.000 0.500


# CsNa2HfSi PBE optimized geometry
# Crystal system: tetragonal
# N(E_F) in states/eV/atom: 0.94
# Uncorrected energy in eV/atom: -1.990
data_CsNa2HfSi
_chemical_formula_sum 'Cs1 Na2 Hf1 Si1'
_space_group_name_H-M_alt 'P 4/m m m'
_space_group_IT_number 123
_space_group_name_Hall '-P 4 2'
_cell_length_a 5.426
_cell_length_b 5.426
_cell_length_c 5.687
_cell_angle_alpha 90.00
_cell_angle_beta 90.00
_cell_angle_gamma 90.00
loop_
_atom_site_label
_atom_site_fract_x
_atom_site_fract_y
_atom_site_fract_z
Cs1 0.000 0.000 0.000
Na1 0.000 0.500 0.000
Hf1 0.000 0.000 0.500
Si1 0.500 0.500 0.500


# Cs2NaHfSn PBE optimized geometry
# Calculated formation energy in eV per atom: 1.097
# Crystal system: tetragonal
# N(E_F) in states/eV/atom: 1.72
data_Cs2NaHfSn
_chemical_formula_sum 'Cs2 Na1 Hf1 Sn1'
_space_group_name_H-M_alt 'P 4/m m m'
_space_group_IT_number 123
_space_group_name_Hall '-P 4 2'
_cell_length_a 6.250
_cell_length_b 6.250
_cell_length_c 5.774
_cell_angle_alpha 90.00
_cell_angle_beta 90.00
_cell_angle_gamma 90.00
loop_
_atom_site_label
_atom_site_fract_x
_atom_site_fract_y
_atom_site_fract_z
Cs1 0.000 0.500 0.000
Na1 0.000 0.000 0.000
Hf1 0.500 0.500 0.500
Sn1 0.000 0.000 0.500


# CsNaHf2V PBE optimized geometry
# Calculated formation energy in eV per atom: 2.026
# Crystal system: tetragonal
# N(E_F) in states/eV/atom: 1.87
data_CsNaHf2V
_chemical_formula_sum 'Cs1 Na1 Hf2 V1'
_space_group_name_H-M_alt 'P 4/m m m'
_space_group_IT_number 123
_space_group_name_Hall '-P 4 2'
_cell_length_a 5.334
_cell_length_b 5.334
_cell_length_c 5.304
_cell_angle_alpha 90.00
_cell_angle_beta 90.00
_cell_angle_gamma 90.00
loop_
_atom_site_label
_atom_site_fract_x
_atom_site_fract_y
_atom_site_fract_z
Cs1 0.000 0.000 0.000
Na1 0.500 0.500 0.500
Hf1 0.000 0.500 0.500
V1 0.500 0.500 0.000


# Cs2HfNb PBE optimized geometry
# Calculated formation energy in eV per atom: 2.154
# Crystal system: cubic
# N(E_F) in states/eV/atom: 1.44
data_Cs2HfNb
_chemical_formula_sum 'Cs8 Hf4 Nb4'
_space_group_name_H-M_alt 'F m -3 m'
_space_group_IT_number 225
_space_group_name_Hall '-F 4 2 3'
_cell_length_a 8.426
_cell_length_b 8.426
_cell_length_c 8.426
_cell_angle_alpha 90.00
_cell_angle_beta 90.00
_cell_angle_gamma 90.00
loop_
_atom_site_label
_atom_site_fract_x
_atom_site_fract_y
_atom_site_fract_z
Cs1 0.250 0.250 0.250
Hf1 0.000 0.000 0.000
Nb1 0.000 0.000 0.500


# Cs2HfNbO6 PBE optimized geometry
# Crystal system: trigonal
# N(E_F) in states/eV/atom: 0.64
# Uncorrected energy in eV/atom: -7.485
data_Cs2HfNbO6
_chemical_formula_sum 'Cs12 Hf6 Nb6 O36'
_space_group_name_H-M_alt 'R -3 m'
_space_group_IT_number 166
_space_group_name_Hall '-R 3 2"'
_cell_length_a 6.2473
_cell_length_b 6.2473
_cell_length_c 29.8811
_cell_angle_alpha 90.00
_cell_angle_beta 90.00
_cell_angle_gamma 120.00
loop_
_atom_site_label
_atom_site_fract_x
_atom_site_fract_y
_atom_site_fract_z
Cs1 0.0000 0.0000 0.1307
Cs2 0.0000 0.0000 0.2811
Hf1 0.0000 0.0000 0.4009
Nb1 0.0000 0.0000 0.0000
Nb2 0.0000 0.0000 0.5000
O1 0.0124 0.5062 0.7043
O2 0.0579 0.5289 0.1215


# CsHfNbSn2 PBE optimized geometry
# Calculated formation energy in eV per atom: 1.387
# Crystal system: tetragonal
# Relative energy among the computed polymorphs in eV/atom: 0.000
# N(E_F) in states/eV/atom: 0.93
data_CsHfNbSn2
_chemical_formula_sum 'Cs1 Hf1 Nb1 Sn2'
_space_group_name_H-M_alt 'P 4/m m m'
_space_group_IT_number 123
_space_group_name_Hall '-P 4 2'
_cell_length_a 5.556
_cell_length_b 5.556
_cell_length_c 5.979
_cell_angle_alpha 90.00
_cell_angle_beta 90.00
_cell_angle_gamma 90.00
loop_
_atom_site_label
_atom_site_fract_x
_atom_site_fract_y
_atom_site_fract_z
Cs1 0.000 0.000 0.000
Hf1 0.000 0.000 0.500
Nb1 0.500 0.500 0.000
Sn1 0.000 0.500 0.500


# CsHfNbSn2 PBE optimized geometry
# Calculated formation energy in eV per atom: 2.583
# Crystal system: tetragonal
# Relative energy among the computed polymorphs in eV/atom: 1.197
# N(E_F) in states/eV/atom: 1.78
data_CsHfNbSn2
_chemical_formula_sum 'Cs1 Hf1 Nb1 Sn2'
_space_group_name_H-M_alt 'P 4/m m m'
_space_group_IT_number 123
_space_group_name_Hall '-P 4 2'
_cell_length_a 5.682
_cell_length_b 5.682
_cell_length_c 5.261
_cell_angle_alpha 90.00
_cell_angle_beta 90.00
_cell_angle_gamma 90.00
loop_
_atom_site_label
_atom_site_fract_x
_atom_site_fract_y
_atom_site_fract_z
Cs1 0.000 0.000 0.000
Hf1 0.000 0.000 0.500
Nb1 0.500 0.500 0.500
Sn1 0.000 0.500 0.000


# CsHfNbW2 PBE optimized geometry
# Calculated formation energy in eV per atom: 2.459
# Crystal system: tetragonal
# Relative energy among the computed polymorphs in eV/atom: 0.000
# N(E_F) in states/eV/atom: 1.32
data_CsHfNbW2
_chemical_formula_sum 'Cs1 Hf1 Nb1 W2'
_space_group_name_H-M_alt 'P 4/m m m'
_space_group_IT_number 123
_space_group_name_Hall '-P 4 2'
_cell_length_a 5.071
_cell_length_b 5.071
_cell_length_c 5.225
_cell_angle_alpha 90.00
_cell_angle_beta 90.00
_cell_angle_gamma 90.00
loop_
_atom_site_label
_atom_site_fract_x
_atom_site_fract_y
_atom_site_fract_z
Cs1 0.000 0.000 0.000
Hf1 0.500 0.500 0.500
Nb1 0.500 0.500 0.000
W1 0.000 0.500 0.500


# CsHfNbW2 PBE optimized geometry
# Calculated formation energy in eV per atom: 2.496
# Crystal system: tetragonal
# Relative energy among the computed polymorphs in eV/atom: 0.037
# N(E_F) in states/eV/atom: 0.98
data_CsHfNbW2
_chemical_formula_sum 'Cs1 Hf1 Nb1 W2'
_space_group_name_H-M_alt 'P 4/m m m'
_space_group_IT_number 123
_space_group_name_Hall '-P 4 2'
_cell_length_a 4.885
_cell_length_b 4.885
_cell_length_c 5.442
_cell_angle_alpha 90.00
_cell_angle_beta 90.00
_cell_angle_gamma 90.00
loop_
_atom_site_label
_atom_site_fract_x
_atom_site_fract_y
_atom_site_fract_z
Cs1 0.000 0.000 0.000
Hf1 0.500 0.500 0.000
Nb1 0.000 0.000 0.500
W1 0.000 0.500 0.500


# Cs3Nd2HfS6 PBE optimized geometry
# Crystal system: monoclinic
# N(E_F) in states/eV/atom: 0.33
# Uncorrected energy in eV/atom: -5.553
data_Cs3Nd2HfS6
_chemical_formula_sum 'Cs6 Nd4 Hf2 S12'
_space_group_name_H-M_alt 'C 1 2/m 1'
_space_group_IT_number 12
_cell_length_a 7.085
_cell_length_b 12.272
_cell_length_c 8.421
_cell_angle_alpha 90.00
_cell_angle_beta 106.33
_cell_angle_gamma 90.00
loop_
_space_group_symop_operation_xyz
'x,y,z'
'-x,-y,-z'
'-x,y,-z'
'x,-y,z'
'x+1/2,y+1/2,z'
'-x+1/2,-y+1/2,-z'
'-x+1/2,y+1/2,-z'
'x+1/2,-y+1/2,z'
loop_
_atom_site_label
_atom_site_fract_x
_atom_site_fract_y
_atom_site_fract_z
Cs1 0.000 0.000 0.000
Cs2 0.000 0.329 0.000
Nd1 0.000 0.166 0.500
Hf1 0.000 0.500 0.500
S1 0.214 0.347 0.682
S2 0.244 0.500 0.316


# Cs4Nd3HfTe8 PBE optimized geometry
# Crystal system: trigonal
# N(E_F) in states/eV/atom: 0.32
# Uncorrected energy in eV/atom: -4.555
data_Cs4Nd3HfTe8
_chemical_formula_sum 'Cs12 Nd9 Hf3 Te24'
_space_group_name_H-M_alt 'R -3 m'
_space_group_IT_number 166
_space_group_name_Hall '-R 3 2"'
_cell_length_a 9.1134
_cell_length_b 9.1134
_cell_length_c 26.9060
_cell_angle_alpha 90.00
_cell_angle_beta 90.00
_cell_angle_gamma 120.00
loop_
_atom_site_label
_atom_site_fract_x
_atom_site_fract_y
_atom_site_fract_z
Cs1 0.0000 0.0000 0.0000
Cs2 0.0000 0.5000 0.0000
Nd1 0.0000 0.5000 0.5000
Hf1 0.0000 0.0000 0.5000
Te1 0.0000 0.0000 0.2333
Te2 0.0226 0.5113 0.2298


# Cs3Nd3HfTe8 PBE optimized geometry
# Crystal system: trigonal
# Uncorrected energy in eV/atom: -4.745
data_Cs3Nd3HfTe8
_chemical_formula_sum 'Cs9 Nd9 Hf3 Te24'
_space_group_name_H-M_alt 'R -3 m'
_space_group_IT_number 166
_space_group_name_Hall '-R 3 2"'
_cell_length_a 9.0504
_cell_length_b 9.0504
_cell_length_c 27.5055
_cell_angle_alpha 90.00
_cell_angle_beta 90.00
_cell_angle_gamma 120.00
loop_
_atom_site_label
_atom_site_fract_x
_atom_site_fract_y
_atom_site_fract_z
Cs1 0.0000 0.5000 0.0000
Nd1 0.0000 0.5000 0.5000
Hf1 0.0000 0.0000 0.5000
Te1 0.0000 0.0000 0.2323
Te2 0.0241 0.5121 0.2283


# CsHf3Ni PBE optimized geometry
# Calculated formation energy in eV per atom: 2.639
# Crystal system: cubic
# Relative energy among the computed polymorphs in eV/atom: 1.864
# N(E_F) in states/eV/atom: 2.04
data_CsHf3Ni
_chemical_formula_sum 'Cs1 Hf3 Ni1'
_space_group_name_H-M_alt 'P m -3 m'
_space_group_IT_number 221
_space_group_name_Hall '-P 4 2 3'
_cell_length_a 5.184
_cell_length_b 5.184
_cell_length_c 5.184
_cell_angle_alpha 90.00
_cell_angle_beta 90.00
_cell_angle_gamma 90.00
loop_
_atom_site_label
_atom_site_fract_x
_atom_site_fract_y
_atom_site_fract_z
Cs1 0.000 0.000 0.000
Hf1 0.000 0.000 0.500
Ni1 0.500 0.500 0.500


# CsHf2Ni2 PBE optimized geometry
# Calculated formation energy in eV per atom: 0.458
# Crystal system: tetragonal
# Relative energy among the computed polymorphs in eV/atom: 0.196
# N(E_F) in states/eV/atom: 0.47
data_CsHf2Ni2
_chemical_formula_sum 'Cs2 Hf4 Ni4'
_space_group_name_H-M_alt 'P 4/m b m'
_space_group_IT_number 127
_space_group_name_Hall '-P 4 2ab'
_cell_length_a 8.339
_cell_length_b 8.339
_cell_length_c 3.254
_cell_angle_alpha 90.00
_cell_angle_beta 90.00
_cell_angle_gamma 90.00
loop_
_atom_site_label
_atom_site_fract_x
_atom_site_fract_y
_atom_site_fract_z
Cs1 0.000 0.000 0.000
Hf1 0.132 0.368 0.500
Ni1 0.113 0.613 0.000


# CsHf3Ni PBE optimized geometry
# Calculated formation energy in eV per atom: 0.775
# Crystal system: cubic
# Relative energy among the computed polymorphs in eV/atom: 0.000
# N(E_F) in states/eV/atom: 1.16
data_CsHf3Ni
_chemical_formula_sum 'Cs1 Hf3 Ni1'
_space_group_name_H-M_alt 'P m -3 m'
_space_group_IT_number 221
_space_group_name_Hall '-P 4 2 3'
_cell_length_a 5.042
_cell_length_b 5.042
_cell_length_c 5.042
_cell_angle_alpha 90.00
_cell_angle_beta 90.00
_cell_angle_gamma 90.00
loop_
_atom_site_label
_atom_site_fract_x
_atom_site_fract_y
_atom_site_fract_z
Cs1 0.000 0.000 0.000
Hf1 0.000 0.500 0.500
Ni1 0.500 0.500 0.500


# CsHf2Ni2 PBE optimized geometry
# Calculated formation energy in eV per atom: 0.262
# Crystal system: tetragonal
# Relative energy among the computed polymorphs in eV/atom: 0.000
# N(E_F) in states/eV/atom: 0.79
data_CsHf2Ni2
_chemical_formula_sum 'Cs2 Hf4 Ni4'
_space_group_name_H-M_alt 'I 4/m m m'
_space_group_IT_number 139
_space_group_name_Hall '-I 4 2'
_cell_length_a 4.395
_cell_length_b 4.395
_cell_length_c 15.685
_cell_angle_alpha 90.00
_cell_angle_beta 90.00
_cell_angle_gamma 90.00
loop_
_atom_site_label
_atom_site_fract_x
_atom_site_fract_y
_atom_site_fract_z
Cs1 0.000 0.000 0.000
Hf1 0.000 0.500 0.250
Ni1 0.000 0.000 0.333


no.,theoretical density (g cm⁻³)
1,4.79
2,4.05
3,4.71
4,3.84
5,3.82
6,4.31
7,6.20
8,5.96
9,6.25
10,5.77
11,6.27
12,9.54
13,9.87
14,5.00
15,5.57
16,5.19
17,8.67
18,8.91
19,9.42
20,6.66